No. 1
{
  "formula": "NaTe3Mo3",
  "functional": "PBE-GGA",
  "state": "relaxed",
  "cell": [[-1.655, 0.087, -9.169], [8.716, -0.972, 3.152], [-0.531, -4.587, 0.052]],
  "species": ["Te", "Mo", "Na", "Te", "Mo", "Na", "Mo", "Te", "Te", "Mo", "Te", "Mo", "Mo", "Te"],
  "fractional_positions": [[0.297, 0.387, 0.750], [0.817, 0.956, 0.250], [0.667, 0.333, 0.750], [0.387, 0.089, 0.250], [0.861, 0.817, 0.750], [0.333, 0.667, 0.250], [0.183, 0.044, 0.750], [0.613, 0.911, 0.750], [0.089, 0.703, 0.750], [0.956, 0.139, 0.750], [0.911, 0.297, 0.250], [0.044, 0.861, 0.250], [0.139, 0.183, 0.250], [0.703, 0.613, 0.250]],
  "e_tot_ry_per_atom": -0.4844,
  "spacegroup": "No. 176"
}



No. 2
{
  "formula": "NaTe3Mo3",
  "functional": "PBE-GGA",
  "state": "relaxed",
  "cell": [[9.323, 0.000, 0.000], [0.000, 4.618, 0.000], [-4.659, 0.000, 8.076]],
  "species": ["Mo", "Te", "Te", "Te", "Mo", "Na", "Na", "Mo", "Mo", "Te", "Mo", "Mo", "Te", "Te"],
  "fractional_positions": [[0.041, 0.750, 0.682], [0.615, 0.250, 0.199], [0.083, 0.250, 0.885], [0.302, 0.250, 0.417], [0.959, 0.250, 0.318], [0.333, 0.750, 0.166], [0.667, 0.250, 0.834], [0.819, 0.750, 0.359], [0.181, 0.250, 0.641], [0.698, 0.750, 0.583], [0.141, 0.750, 0.459], [0.859, 0.250, 0.541], [0.385, 0.750, 0.801], [0.917, 0.750, 0.115]],
  "e_tot_ry_per_atom": -0.4844,
  "spacegroup": "No. 11"
}



No. 3
{
  "formula": "NaThMo",
  "functional": "PBE-GGA",
  "state": "relaxed",
  "cell": [[-0.941, -3.739, 2.795], [1.255, 0.084, 4.593], [-3.342, 0.333, 3.376]],
  "species": ["Th", "Mo", "Na"],
  "fractional_positions": [[0.750, 0.750, 0.750], [0.000, 0.000, 0.000], [0.250, 0.250, 0.250]],
  "spacegroup": "No. 216",
  "relative_energy_kcal_per_mol_atoms": 0.00
}



No. 4
{
  "formula": "NaThMo",
  "functional": "PBE-GGA",
  "state": "relaxed",
  "cell": [[0.000, 3.413, 3.413], [3.413, 0.000, 3.413], [3.413, 3.413, 0.000]],
  "species": ["Mo", "Th", "Na"],
  "fractional_positions": [[0.250, 0.250, 0.250], [0.000, 0.000, 0.000], [0.750, 0.750, 0.750]],
  "spacegroup": "No. 216",
  "relative_energy_kcal_per_mol_atoms": 8.67
}



No. 5
{
  "formula": "NaTlMo",
  "functional": "PBE-GGA",
  "state": "relaxed",
  "cell": [[-3.315, -3.443, 0.082], [-4.574, 1.064, -0.895], [-2.039, -1.452, -4.072]],
  "species": ["Tl", "Mo", "Na"],
  "fractional_positions": [[0.000, 0.000, 0.000], [0.250, 0.250, 0.250], [0.750, 0.750, 0.750]],
  "spacegroup": "No. 216",
  "relative_energy_kcal_per_mol_atoms": 0.00
}



No. 6
{
  "formula": "NaTlMo2",
  "functional": "PBE-GGA",
  "state": "relaxed",
  "cell": [[0.000, 3.312, 3.312], [3.312, 0.000, 3.312], [3.312, 3.312, 0.000]],
  "species": ["Tl", "Mo", "Mo", "Na"],
  "fractional_positions": [[0.500, 0.500, 0.500], [0.000, 0.000, 0.000], [0.750, 0.750, 0.750], [0.250, 0.250, 0.250]],
  "e_tot_ry_per_atom": -0.4044,
  "spacegroup": "No. 216"
}



No. 7
{
  "formula": "NaTmMo",
  "functional": "PBE-GGA",
  "state": "relaxed",
  "cell": [[0.000, 3.464, 3.464], [3.464, 0.000, 3.464], [3.464, 3.464, 0.000]],
  "species": ["Tm", "Mo", "Na"],
  "fractional_positions": [[0.000, 0.000, 0.000], [0.250, 0.250, 0.250], [0.750, 0.750, 0.750]],
  "e_tot_ry_per_atom": -0.2923,
  "spacegroup": "No. 216"
}



No. 8
{
  "formula": "NaMoW",
  "functional": "PBE-GGA",
  "state": "relaxed",
  "cell": [[-0.547, 2.260, 3.727], [-3.553, 2.527, 0.535], [-3.129, -1.184, 2.847]],
  "species": ["Na", "W", "Mo"],
  "fractional_positions": [[0.250, 0.250, 0.250], [0.750, 0.750, 0.750], [0.000, 0.000, 0.000]],
  "spacegroup": "No. 216",
  "relative_energy_kcal_per_mol_atoms": 0.00
}



No. 9
{
  "formula": "Na2ZnMo",
  "functional": "PBE-GGA",
  "state": "relaxed",
  "cell": [[0.000, 3.456, 3.456], [3.456, 0.000, 3.456], [3.456, 3.456, 0.000]],
  "species": ["Na", "Na", "Mo", "Zn"],
  "fractional_positions": [[0.000, 0.000, 0.000], [0.750, 0.750, 0.750], [0.250, 0.250, 0.250], [0.500, 0.500, 0.500]],
  "e_tot_ry_per_atom": -0.2061,
  "spacegroup": "No. 216"
}



No. 10
{
  "formula": "Nb2Mo",
  "functional": "PBE-GGA",
  "state": "relaxed",
  "cell": [[5.423, 0.000, 0.000], [-2.711, 4.696, 0.000], [0.000, 0.000, 8.561]],
  "species": ["Mo", "Nb", "Mo", "Nb", "Mo", "Nb", "Nb", "Nb", "Nb", "Mo", "Nb", "Nb"],
  "fractional_positions": [[0.667, 0.333, 0.946], [0.657, 0.829, 0.750], [0.667, 0.333, 0.554], [0.829, 0.657, 0.250], [0.333, 0.667, 0.446], [0.343, 0.171, 0.250], [0.000, 0.000, 0.000], [0.000, 0.000, 0.500], [0.171, 0.829, 0.750], [0.333, 0.667, 0.054], [0.829, 0.171, 0.250], [0.171, 0.343, 0.750]],
  "spacegroup": "No. 194",
  "relative_energy_kcal_per_mol_atoms": 0.40,
  "delta_e_f_ev_per_atom": 0.44
}



No. 11
{
  "formula": "NbMo8",
  "functional": "PBE-GGA",
  "state": "relaxed",
  "cell": [[6.782, -1.036, -0.938], [-5.502, 2.093, 3.645], [-1.211, -6.688, 1.320]],
  "species": ["Mo", "Mo", "Mo", "Nb", "Mo", "Mo", "Mo", "Mo", "Mo"],
  "fractional_positions": [[0.000, 0.665, 0.665], [0.665, 0.000, 0.665], [0.669, 0.331, 0.000], [0.000, 0.000, 0.000], [0.331, 0.331, 0.662], [0.000, 0.335, 0.335], [0.331, 0.669, 0.000], [0.335, 0.000, 0.335], [0.669, 0.669, 0.338]],
  "spacegroup": "No. 139",
  "delta_e_f_ev_per_atom": -0.04
}



No. 12
{
  "formula": "Nb2Mo",
  "functional": "PBE-GGA",
  "state": "relaxed",
  "cell": [[0.000, 3.794, 3.794], [3.794, 0.000, 3.794], [3.794, 3.794, 0.000]],
  "species": ["Nb", "Nb", "Nb", "Nb", "Mo", "Mo"],
  "fractional_positions": [[0.625, 0.625, 0.625], [0.625, 0.625, 0.125], [0.125, 0.625, 0.625], [0.625, 0.125, 0.625], [0.250, 0.250, 0.250], [0.000, 0.000, 0.000]],
  "spacegroup": "No. 227",
  "relative_energy_kcal_per_mol_atoms": 0.00,
  "delta_e_f_ev_per_atom": 0.43
}